# 1
This record from the Alexandria database describes LiAcSnIr after structural relaxation. The functional is PBE.

abc: 4.679 4.679 5.728
angles: 114.00 114.00 59.97
Positions (direct):
Li  0.000  0.000  0.000
Ac  0.197  0.197  0.591
Sn  0.712  0.712  0.135
Ir  0.399  0.399  0.195

Values from the calculation:
space group: No. 8
VASP energy: -21.02 eV/cell
density: 9.44 g/cm3
Fermi-level density of states: 3.846 states/eV per cell

# 2
This record from the Alexandria database describes LiAc2Sn2Ir after structural relaxation. The functional is PBE.

abc: 8.794 8.794 8.794
angles: 134.73 65.20 135.70
Positions (direct):
Li  0.250  0.250  0.000
Li  0.750  0.750  0.000
Ac  0.154  0.731  0.885
Ac  0.346  0.231  0.578
Ac  0.654  0.769  0.422
Ac  0.846  0.269  0.115
Sn  0.100  0.244  0.344
Sn  0.400  0.744  0.145
Sn  0.600  0.256  0.855
Sn  0.900  0.756  0.656
Ir  0.250  0.750  0.500
Ir  0.750  0.250  0.500

Values from the calculation:
space group: No. 72
VASP energy: -60.89 eV/cell
density: 8.89 g/cm3
Fermi-level density of states: 7.177 states/eV per cell

# 3
This record from the Alexandria database describes LiAcSnIr after structural relaxation. The functional is PBE.

abc: 5.005 5.005 5.005
angles: 60.00 60.00 60.00
Positions (direct):
Li  0.000  0.000  0.000
Ac  0.250  0.250  0.250
Sn  0.750  0.750  0.750
Ir  0.500  0.500  0.500

Values from the calculation:
space group: No. 216
VASP energy: -20.52 eV/cell
density: 10.20 g/cm3
Fermi-level density of states: 4.799 states/eV per cell

- What is the density in the third record?
  10.20 g/cm3

- Look up the density of the third one.
  10.20 g/cm3